[1]
Density functional theory data (PBE) for ScNiP3 after structural relaxation.

The structure belongs to space group Pm-3m (No. 221); the cell edges are 4.848, 4.848 and 4.848 Å and the angles 90.00°, 90.00° and 90.00°. The distinct sites, in fractional coordinates, are Sc at (0.000, 0.000, 0.000), Ni at (0.500, 0.500, 0.500) and P at (0.000, 0.000, 0.500).

The calculation puts the total DFT energy (no corrections) at -23.8 eV per cell. The calculation puts the energy above the most stable polymorph in this dataset at 4.290 eV/f.u.

=====

[2]
Density functional theory data (PBE) for LaBiI3 after structural relaxation.

The structure belongs to space group Pm-3m (No. 221); the cell edges are 6.335, 6.335 and 6.335 Å and the angles 90.00°, 90.00° and 90.00°. The distinct sites, in fractional coordinates, are La at (0.000, 0.000, 0.000), Bi at (0.500, 0.500, 0.500) and I at (0.000, 0.000, 0.500).

Its uncorrected formation energy is -313 kJ/mol of formula units. The calculation puts the total DFT energy (no corrections) at -16.7 eV per cell.

=====

[3]
Density functional theory data (PBE) for PaHgC after structural relaxation.

The structure belongs to space group I4/mmm (No. 139); the cell edges are 3.368, 3.368 and 22.304 Å and the angles 90.00°, 90.00° and 90.00°. The distinct sites, in fractional coordinates, are Pa at (0.000, 0.000, 0.187), Hg at (0.000, 0.000, 0.433) and C at (0.000, 0.000, 0.292).

The calculation puts the total DFT energy (no corrections) at -78.4 eV per cell. The calculation puts the energy above the most stable polymorph in this dataset at 0.079 eV/f.u.

=====

[4]
Density functional theory data (PBE) for HfMnNi2Pt after structural relaxation.

The structure belongs to space group P4/mmm (No. 123); the cell edges are 4.436, 4.436 and 4.644 Å and the angles 90.00°, 90.00° and 90.00°. The distinct sites, in fractional coordinates, are Hf at (0.000, 0.000, 0.000), Mn at (0.000, 0.000, 0.500), Ni at (0.000, 0.500, 0.000) and Pt at (0.500, 0.500, 0.500).

The calculation puts the total DFT energy (no corrections) at -30.3 eV per cell.

=====

[5]
Density functional theory data (PBE) for TlB3N3 after structural relaxation.

The structure belongs to space group Pm-3n (No. 223); the cell edges are 4.884, 4.884 and 4.884 Å and the angles 90.00°, 90.00° and 90.00°. The distinct sites, in fractional coordinates, are Tl at (0.000, 0.000, 0.000), B at (0.000, 0.250, 0.500) and N at (0.000, 0.500, 0.250).

Its uncorrected formation energy is 283 kJ/mol of formula units. The calculation puts the total DFT energy (no corrections) at -88.9 eV per cell.

=====

[6]
Density functional theory data (PBE) for LiLaSmCd after structural relaxation.

The structure belongs to space group F-43m (No. 216); the cell edges are 7.713, 7.713 and 7.713 Å and the angles 90.00°, 90.00° and 90.00°. The distinct sites, in fractional coordinates, are Li at (0.000, 0.000, 0.000), La at (0.250, 0.250, 0.750), Sm at (0.250, 0.250, 0.250) and Cd at (0.000, 0.000, 0.500).

The calculation puts the total DFT energy (no corrections) at -51.8 eV per cell.